A relaxed structure of Cs2NpMn2S6. Source: Alexandria, functional PBE-GGA.

## Properties
calculated total energy: -6.109 eV/atom
ΔE_f (raw): -0.859 eV per atom

Lattice parameters (Å, degrees): 7.2392 7.2392 7.6268 61.67 61.67 60.00
Last column: nearest neighbours and their distance in Å.
Sites, in units of the cell vectors:
S 0.7502 0.7502 0.2411  1 Mn 2.15
Cs 0.2393 0.2393 0.2822  12 S 3.63-3.92, 1 Mn 3.97
S 0.7502 0.2584 0.2411  1 Mn 2.15
S 0.2498 0.2498 0.7589  1 Mn 2.15
Mn 0.4467 0.4467 0.6598  1 Mn 2.04, 3 S 2.15
Cs 0.7607 0.7607 0.7178  12 S 3.63-3.92, 1 Mn 3.97
Np 0.0000 0.0000 0.0000  6 S 2.62
S 0.7416 0.2498 0.7589  1 Mn 2.15
S 0.2498 0.7416 0.7589  1 Mn 2.15
Mn 0.5533 0.5533 0.3402  1 Mn 2.04, 3 S 2.15
S 0.2584 0.7502 0.2411  1 Mn 2.15


A relaxed structure of Cs2NpMnS4. Source: Alexandria, functional PBE-GGA.

## Properties
calculated total energy: -6.046 eV/atom
ΔE_f (raw): -1.005 eV per atom

Lattice parameters (Å, degrees): 6.4639 7.9675 13.2070 84.30 75.84 66.07
Last column: nearest neighbours and their distance in Å.
Sites, in units of the cell vectors:
Mn 0.5000 0.0000 0.0000  4 S 2.37
Mn 0.2500 0.5000 0.5000  4 S 2.37
Np 0.0000 0.0000 0.0000  4 S 2.56
S 0.5245 0.3096 0.5963  1 Mn 2.37, 1 Np 2.56
S 0.5841 0.1904 0.0963  1 Mn 2.37, 1 Np 2.56
S 0.2255 0.1904 0.9037  1 Mn 2.37, 1 Np 2.56
Cs 0.1787 0.0000 0.6425  8 S 3.80-4.10
Np 0.7500 0.5000 0.5000  4 S 2.56
S 0.3196 0.8096 0.0963  1 Mn 2.37, 1 Np 2.56
Cs 0.9287 0.5000 0.1425  8 S 3.80-4.10
S 0.8792 0.6904 0.5963  1 Mn 2.37, 1 Np 2.56
S 0.1659 0.3096 0.4037  1 Mn 2.37, 1 Np 2.56
S 0.4304 0.6904 0.4037  1 Mn 2.37, 1 Np 2.56
Cs 0.8213 0.0000 0.3575  8 S 3.80-4.10
S 0.8708 0.8096 0.9037  1 Mn 2.37, 1 Np 2.56
Cs 0.5713 0.5000 0.8575  8 S 3.80-4.10


A relaxed structure of CsNpMnS4. Source: Alexandria, functional PBE-GGA.

## Properties
calculated total energy: -6.640 eV/atom
ΔE_f (raw): -1.000 eV per atom

Lattice parameters (Å, degrees): 6.5168 6.2913 9.5678 90.00 108.21 90.00
Last column: nearest neighbours and their distance in Å.
Sites, in units of the cell vectors:
Np 0.7613 0.7500 0.4491  6 S 2.67-2.81
Mn 0.7765 0.2500 0.6572  4 S 2.19-2.23
S 0.4334 0.7500 0.1985  1 Mn 2.23
Cs 0.2605 0.2500 0.0560  8 S 3.47-3.78
Np 0.2387 0.2500 0.5509  6 S 2.67-2.81
S 0.0156 0.9906 0.6877  1 Mn 2.21
S 0.4343 0.7500 0.5716  1 Mn 2.19
S 0.5657 0.2500 0.4284  1 Mn 2.19
Mn 0.2235 0.7500 0.3428  4 S 2.19-2.23
Cs 0.7395 0.7500 0.9440  8 S 3.47-3.78
S 0.9844 0.4906 0.3123  1 Mn 2.21
S 0.5666 0.2500 0.8015  1 Mn 2.23
S 0.0156 0.5094 0.6877  1 Mn 2.21
S 0.9844 0.0094 0.3123  1 Mn 2.21


A relaxed structure of CsNp2MnS4. Source: Alexandria, functional PBE-GGA.

## Properties
calculated total energy: -7.694 eV/atom
ΔE_f (raw): -1.142 eV per atom

Lattice parameters (Å, degrees): 4.0498 7.3477 13.8608 90.00 90.00 106.00
Last column: nearest neighbours and their distance in Å.
Sites, in units of the cell vectors:
S 0.7452 0.4903 0.8941  1 Mn 2.32
Mn 0.8288 0.6577 0.7500  4 S 2.32-2.33
Np 0.6319 0.2638 0.4444  6 S 2.75-2.86
S 0.5893 0.1786 0.2500  2 Mn 2.33
Cs 0.8998 0.7997 0.2500  8 S 3.36-3.74
S 0.7452 0.4903 0.6059  1 Mn 2.32
Mn 0.1712 0.3423 0.2500  4 S 2.32-2.33
S 0.2548 0.5097 0.3941  1 Mn 2.32
Cs 0.1002 0.2003 0.7500  8 S 3.36-3.74
S 0.4107 0.8214 0.7500  2 Mn 2.33
Np 0.3681 0.7362 0.9444  6 S 2.75-2.86
S 0.2548 0.5097 0.1059  1 Mn 2.32
Np 0.3681 0.7362 0.5556  6 S 2.75-2.86
S 0.0000 0.0000 0.5000  4 Np 2.86
Np 0.6319 0.2638 0.0556  6 S 2.75-2.86
S 0.0000 0.0000 0.0000  4 Np 2.86


A relaxed structure of Cs2Np2MnS6. Source: Alexandria, functional PBE-GGA.

## Properties
calculated total energy: -6.776 eV/atom
ΔE_f (raw): -1.183 eV per atom

Lattice parameters (Å, degrees): 6.8165 6.8165 8.5256 97.41 97.41 120.12
Last column: nearest neighbours and their distance in Å.
Sites, in units of the cell vectors:
Cs 0.8359 0.1641 0.0000  6 S 3.50-3.54, 1 Cs 3.88
Np 0.6662 0.3338 0.5000  6 S 2.68
S 0.3905 0.0557 0.6736  2 Np 2.68, 1 Mn 2.69
Mn 0.0000 0.0000 0.5000  6 S 2.65-2.69
Np 0.3338 0.6662 0.5000  6 S 2.68
S 0.9443 0.6095 0.3264  2 Np 2.68, 1 Mn 2.69
S 0.2733 0.2733 0.3285  1 Mn 2.65, 2 Np 2.68
S 0.7267 0.7267 0.6715  1 Mn 2.65, 2 Np 2.68
S 0.0557 0.3905 0.6736  2 Np 2.68, 1 Mn 2.69
S 0.6095 0.9443 0.3264  2 Np 2.68, 1 Mn 2.69
Cs 0.1641 0.8359 0.0000  6 S 3.50-3.54, 1 Cs 3.88


A relaxed structure of CsNpMn2Se4. Source: Alexandria, functional PBE-GGA.

## Properties
calculated total energy: -6.116 eV/atom
ΔE_f (raw): -0.357 eV per atom

Lattice parameters (Å, degrees): 6.3385 7.3104 7.3104 76.04 64.31 64.31
Last column: nearest neighbours and their distance in Å.
Sites, in units of the cell vectors:
Se 0.5777 0.5020 0.8448  1 Mn 2.32
Cs 0.0000 0.0000 0.0000  8 Se 3.75-3.84
Se 0.0755 0.8448 0.5020  1 Mn 2.32
Se 0.9245 0.4980 0.1552  1 Mn 2.32
Se 0.4223 0.1552 0.4980  1 Mn 2.32
Mn 0.0989 0.4011 0.4011  1 Mn 1.90
Mn 0.9011 0.5989 0.5989  1 Mn 1.90
Np 0.5000 0.5000 0.5000  4 Se 2.77


A relaxed structure of CsNp2MnTe4. Source: Alexandria, functional PBE-GGA.

## Properties
calculated total energy: -6.691 eV/atom
ΔE_f (raw): -0.632 eV per atom

Lattice parameters (Å, degrees): 4.4588 8.2684 15.6052 90.00 90.00 105.64
Last column: nearest neighbours and their distance in Å.
Sites, in units of the cell vectors:
Np 0.3686 0.7372 0.9402  6 Te 3.11-3.20
Te 0.7385 0.4771 0.6076  1 Mn 2.67
Mn 0.8315 0.6630 0.7500  4 Te 2.67-2.70
Cs 0.1083 0.2166 0.7500  6 Te 3.65-3.77
Te 0.4266 0.8533 0.7500  2 Mn 2.70
Te 0.7385 0.4771 0.8924  1 Mn 2.67
Te 0.5734 0.1467 0.2500  2 Mn 2.70
Np 0.6314 0.2628 0.4402  6 Te 3.11-3.20
Te 0.2615 0.5229 0.3924  1 Mn 2.67
Te 0.0000 0.0000 0.0000  4 Np 3.20
Np 0.3686 0.7372 0.5598  6 Te 3.11-3.20
Mn 0.1685 0.3370 0.2500  4 Te 2.67-2.70
Te 0.2615 0.5229 0.1076  1 Mn 2.67
Np 0.6314 0.2628 0.0598  6 Te 3.11-3.20
Te 0.0000 0.0000 0.5000  4 Np 3.20
Cs 0.8917 0.7834 0.2500  6 Te 3.65-3.77


Record-wise size of the total moment values, in μB per formula unit: 5.002, 8.000, 0.193, 11.944, 1.000, 5.978, 4.000